Entry a
CaY2Sc: optimized geometry, PBEsol.

Calculated values
- magnetization (μB per cell) = 1.046

Cell: 5.560 5.560 5.560 Å, 60.00 60.00 60.00°
Fractional positions:
Ca (0.000, 0.000, 0.000)
Y (0.250, 0.250, 0.250)
Y (0.500, 0.500, 0.500)
Sc (0.750, 0.750, 0.750)

***

Entry b
CaY2Sc: optimized geometry, PBEsol.

Calculated values
- magnetization (μB per cell) = 0.002

Cell: 3.478 4.925 7.086 Å, 90.00 90.00 90.00°
Fractional positions:
Ca (0.000, 0.000, 0.000)
Y (0.000, 0.000, 0.487)
Y (0.500, 0.500, 0.726)
Sc (0.500, 0.500, 0.262)

***

The most stable arrangement is entry b, and the next structure is 72 meV/atom less stable.

***

Entry a
CaYSc2: optimized geometry, PBEsol.

Calculated values
- magnetization (μB per cell) = 0.007

Cell: 3.705 3.705 8.565 Å, 90.00 90.00 90.00°
Fractional positions:
Ca (0.000, 0.000, 0.000)
Y (0.500, 0.500, 0.686)
Sc (0.000, 0.000, 0.463)
Sc (0.500, 0.500, 0.278)

***

Entry b
CaYSc2: optimized geometry, PBEsol.

Calculated values
- magnetization (μB per cell) = 0.001

Cell: 5.925 5.925 3.404 Å, 90.00 90.00 109.32°
Fractional positions:
Ca (0.000, 0.000, 0.000)
Y (0.500, 0.500, 0.000)
Sc (0.000, 0.500, 0.500)
Sc (0.500, 0.000, 0.500)

***

The most stable arrangement is entry a, and the next structure is 78 meV/atom less stable.

***

Entry a
CaZr2Sc: optimized geometry, PBEsol.

Calculated values
- magnetization (μB per cell) = 0.000

Cell: 5.714 5.714 5.714 Å, 133.34 133.34 68.13°
Fractional positions:
Ca (0.000, 0.000, 0.000)
Zr (0.250, 0.750, 0.500)
Zr (0.750, 0.250, 0.500)
Sc (0.500, 0.500, 0.000)

***

Entry b
CaZr2Sc: optimized geometry, PBEsol.

Calculated values
- magnetization (μB per cell) = 0.000

Cell: 3.164 4.605 6.831 Å, 90.00 90.00 90.00°
Fractional positions:
Ca (0.000, 0.000, 0.000)
Zr (0.500, 0.500, 0.286)
Zr (0.500, 0.500, 0.714)
Sc (0.000, 0.000, 0.500)

***

Entry c
CaZr2Sc: optimized geometry, PBEsol.

Calculated values
- magnetization (μB per cell) = 2.899

Cell: 5.195 5.195 5.195 Å, 60.00 60.00 60.00°
Fractional positions:
Ca (0.000, 0.000, 0.000)
Zr (0.250, 0.250, 0.250)
Zr (0.500, 0.500, 0.500)
Sc (0.750, 0.750, 0.750)

***

Entry d
CaZr2Sc: optimized geometry, PBEsol.

Calculated values
- magnetization (μB per cell) = 0.001

Cell: 5.383 5.383 3.368 Å, 90.00 90.00 90.00°
Fractional positions:
Ca (0.000, 0.000, 0.000)
Zr (0.000, 0.500, 0.500)
Zr (0.500, 0.000, 0.500)
Sc (0.500, 0.500, 0.000)

***

The most stable arrangement is entry b, and the next structure is 67 meV/atom less stable.

***

Entry a
SrCaSe2: optimized geometry, PBEsol.

Calculated values
- magnetization (μB per cell) = 0.000

Cell: 7.745 7.745 7.745 Å, 150.89 150.54 41.90°
Fractional positions:
Sr (0.000, 0.000, 0.000)
Ca (0.251, 0.751, 0.500)
Se (0.407, 0.407, 0.000)
Se (0.669, 0.169, 0.500)

***

Entry b
SrCaSe2: optimized geometry, PBEsol.

Calculated values
- magnetization (μB per cell) = 0.000

Cell: 4.280 4.280 6.053 Å, 90.00 90.00 90.00°
Fractional positions:
Sr (0.000, 0.000, 0.000)
Ca (0.500, 0.500, 0.500)
Se (0.000, 0.000, 0.500)
Se (0.500, 0.500, 0.000)

***

Entry c
SrCaSe2: optimized geometry, PBEsol.

Calculated values
- magnetization (μB per cell) = 0.000

Cell: 7.399 7.399 7.399 Å, 33.54 33.54 33.54°
Fractional positions:
Sr (0.000, 0.000, 0.000)
Ca (0.500, 0.500, 0.500)
Se (0.246, 0.246, 0.246)
Se (0.754, 0.754, 0.754)

***

The most stable arrangement is entry c, and the next structure is 17 meV/atom less stable.

***

Entry a
SrCaSe2: optimized geometry, PBEsol.

Calculated values
- magnetization (μB per cell) = 0.000

Cell: 5.203 5.203 5.203 Å, 60.00 60.00 60.00°
Fractional positions:
Sr (0.000, 0.000, 0.000)
Ca (0.750, 0.750, 0.750)
Se (0.250, 0.250, 0.250)
Se (0.500, 0.500, 0.500)

***

Entry b
SrCaSe2: optimized geometry, PBEsol.

Calculated values
- magnetization (μB per cell) = 0.000

Cell: 3.710 3.702 7.399 Å, 90.00 96.44 90.00°
Fractional positions:
Sr (0.000, 0.000, 0.000)
Ca (0.000, 0.000, 0.500)
Se (0.464, 0.500, 0.743)
Se (0.536, 0.500, 0.257)

***

The most stable arrangement is entry b, and the next structure is 873 meV/atom less stable.

***

Entry a
CaTiSe2: optimized geometry, PBEsol.

Calculated values
- magnetization (μB per cell) = 1.997

Cell: 4.804 4.804 4.804 Å, 60.00 60.00 60.00°
Fractional positions:
Ca (0.000, 0.000, 0.000)
Ti (0.500, 0.500, 0.500)
Se (0.250, 0.250, 0.250)
Se (0.750, 0.750, 0.750)

***

Entry b
CaTiSe2: optimized geometry, PBEsol.

Calculated values
- magnetization (μB per cell) = 0.013

Cell: 8.935 8.935 8.935 Å, 23.52 23.52 23.52°
Fractional positions:
Ca (0.000, 0.000, 0.000)
Ti (0.500, 0.500, 0.500)
Se (0.109, 0.109, 0.109)
Se (0.891, 0.891, 0.891)

***

The most stable arrangement is entry a, and the next structure is 149 meV/atom less stable.